Ce2ThNi9: relaxed, PBE.

a b c (Å): 4.9658 4.9658 24.8423
angles (deg): 90.00 90.00 120.00
Space group R-3m (No. 166, hexagonal axes)
Inequivalent atoms, fractional coordinates:
Ce: 0.0000 0.0000 0.1396 (multiplicity 6)
Th: 0.0000 0.0000 0.0000 (multiplicity 3)
Ni: 0.0000 0.0000 0.3330 (multiplicity 6)
Ni: 0.0000 0.0000 0.5000 (multiplicity 3)
Ni: 0.9999 0.5000 0.0825 (multiplicity 18)

For the formation energy, the calculation gives -419 meV per atom. The crystal system is trigonal. As for the calculated volume: 177 Å³/f.u.

***

PmPu2Pt9: relaxed, PBE.

a b c (Å): 5.4203 5.4203 26.7193
angles (deg): 90.00 90.00 120.00
Space group R-3m (No. 166, hexagonal axes)
Inequivalent atoms, fractional coordinates:
Pm: 0.0000 0.0000 0.0000 (multiplicity 3)
Pu: 0.0000 0.0000 0.1425 (multiplicity 6)
Pt: 0.0000 0.0000 0.3328 (multiplicity 6)
Pt: 0.0000 0.0000 0.5000 (multiplicity 3)
Pt: 0.0035 0.5017 0.9150 (multiplicity 18)

For the formation energy, the calculation gives -788 meV per atom. The crystal system is trigonal. As for the calculated volume: 227 Å³/f.u.

***

AlNiIN2: relaxed, PBE.

a b c (Å): 3.886 3.886 5.719
angles (deg): 90.00 90.00 90.00
Space group P4/mmm (No. 123)
Inequivalent atoms, fractional coordinates:
Al: 0.000 0.000 0.000 (multiplicity 1)
Ni: 0.500 0.500 0.500 (multiplicity 1)
I: 0.500 0.500 0.000 (multiplicity 1)
N: 0.000 0.500 0.500 (multiplicity 2)

Its polymorph energy (0 for the lowest one) is 467 meV/atom. The crystal system is tetragonal. The uncorrected formation energy comes out at 1.351 eV per atom. As for the calculated volume: 86 Å³/f.u.

***

Dy4Cl: relaxed, PBE.

a b c (Å): 5.272 5.272 5.272
angles (deg): 90.00 90.00 90.00
Space group Pm-3m (No. 221)
Inequivalent atoms, fractional coordinates:
Dy: 0.000 0.000 0.000 (multiplicity 1)
Dy: 0.000 0.500 0.500 (multiplicity 3)
Cl: 0.500 0.500 0.500 (multiplicity 1)

The crystal system is cubic. The uncorrected formation energy comes out at -0.443 eV per atom. As for the calculated volume: 147 Å³/f.u.

***

ErHf2Sc2: relaxed, PBE.

a b c (Å): 8.594 8.594 3.344
angles (deg): 90.00 90.00 90.00
Space group P4/mbm (No. 127)
Inequivalent atoms, fractional coordinates:
Er: 0.000 0.000 0.000 (multiplicity 2)
Hf: 0.173 0.327 0.500 (multiplicity 4)
Sc: 0.123 0.623 0.000 (multiplicity 4)

For the formation energy, the calculation gives 142 meV per atom. The crystal system is tetragonal. As for the calculated volume: 123 Å³/f.u.

***

BaNaGe: relaxed, PBE.

a b c (Å): 7.684 7.684 7.684
angles (deg): 90.00 90.00 90.00
Space group F-43m (No. 216)
Inequivalent atoms, fractional coordinates:
Ba: 0.000 0.000 0.000 (multiplicity 4)
Na: 0.000 0.000 0.500 (multiplicity 4)
Ge: 0.250 0.250 0.750 (multiplicity 4)

For the formation energy, the calculation gives -189 meV per atom. The crystal system is cubic. As for the calculated volume: 113 Å³/f.u.

***

LiMn2Cu: relaxed, PBE.

a b c (Å): 6.844 6.844 5.174
angles (deg): 90.00 90.00 90.00
Space group I-42d (No. 122)
Inequivalent atoms, fractional coordinates:
Li: 0.000 0.000 0.000 (multiplicity 4)
Mn: 0.233 0.250 0.625 (multiplicity 8)
Cu: 0.000 0.000 0.500 (multiplicity 4)

For the formation energy, the calculation gives 602 meV per atom. The crystal system is tetragonal. As for the calculated volume: 61 Å³/f.u.

***

Sr3Pr: relaxed, PBE.

a b c (Å): 5.776 5.776 5.776
angles (deg): 90.00 90.00 90.00
Space group Pm-3m (No. 221)
Inequivalent atoms, fractional coordinates:
Sr: 0.000 0.000 0.500 (multiplicity 3)
Pr: 0.500 0.500 0.500 (multiplicity 1)

For the formation energy, the calculation gives 165 meV per atom. Its polymorph energy (0 for the lowest one) is 33 meV/atom. The crystal system is cubic. As for the calculated volume: 193 Å³/f.u.